Compound: Ca4LaPb
Source: Alexandria
Functional: PBE
Structure: relaxed

a b c (Å): 9.7509 9.7509 9.7509
angles (deg): 90.00 90.00 90.00
With the nearest neighbours (Å) after each atom.
Space group F-43m (No. 216)
Symmetry-distinct sites (fractional):
Ca (0.1247, 0.1247, 0.1247) (multiplicity 16)  6 Ca 3.44-3.46
La (0.2500, 0.2500, 0.7500) (multiplicity 4)  12 Ca 4.04, 4 Pb 4.22
Pb (0.0000, 0.0000, 0.5000) (multiplicity 4)  12 Ca 4.04, 4 La 4.22

Values from the calculation:
ρ (kg/m3): 3628
N(E_F) (states/eV/f.u.): 8.1
Total DFT energy (no corrections) (eV/atom): -2.603